(1)
meta-GGA SCAN TlFeHg2, single point on PBEsol structure; density = 13.54 g/cm³; total energy = -675.93 eV per cell; Fermi-level density of states = 0.67 states/eV per atom; energy relative to the lowest polymorph listed for this composition = 15 meV/atom
1.0
3.166 0.000 0.000
-1.583 2.742 0.000
0.000 0.000 28.022
Tl Fe Hg
3 3 6
Direct
0.000 0.000 0.000
0.333 0.667 0.667
0.667 0.333 0.333
0.000 0.000 0.743
0.333 0.667 0.410
0.667 0.333 0.076
0.000 0.000 0.238
0.000 0.000 0.482
0.333 0.667 0.148
0.333 0.667 0.905
0.667 0.333 0.571
0.667 0.333 0.815

(2)
meta-GGA SCAN FeHg2W, single point on PBEsol structure; density = 15.89 g/cm³; total energy = -443.02 eV per cell; Fermi-level density of states = 0.51 states/eV per atom
1.0
5.688 0.000 0.000
0.000 8.482 0.000
0.000 0.000 2.776
Fe Hg W
2 4 2
Direct
0.000 0.000 0.000
0.500 0.500 0.000
0.250 0.250 0.500
0.250 0.750 0.500
0.750 0.250 0.500
0.750 0.750 0.500
0.000 0.500 0.000
0.500 0.000 0.000

(3)
meta-GGA SCAN YFe2Hg, single point on PBEsol structure; density = 10.20 g/cm³; total energy = -131.46 eV per cell; Fermi-level density of states = 0.53 states/eV per atom
1.0
4.195 0.000 0.000
0.000 4.195 0.000
0.000 0.000 3.712
Y Fe Hg
1 2 1
Direct
0.000 0.000 0.000
0.000 0.500 0.500
0.500 0.000 0.500
0.500 0.500 0.000